Material: Ce3Sc2Pb4
Method: DFT, PBE
State: optimized geometry

The structure in POSCAR format:
```
Ce3Sc2Pb4
1.0
5.156 0.000 0.000
-2.578 6.011 -0.986
0.000 -3.773 8.968
Sc Ce Pb
2 3 4
direct
0.367 0.733 0.694 Sc
0.633 0.267 0.306 Sc
0.349 0.697 0.317 Ce
0.651 0.303 0.683 Ce
0.000 0.000 0.000 Ce
0.921 0.842 0.600 Pb
0.682 0.364 0.037 Pb
0.079 0.158 0.400 Pb
0.318 0.636 0.963 Pb
```

V: 258.8 Å³/f.u.
Calculated formation energy: -0.34 eV per atom
Crystal system: monoclinic



Material: KHgP
Method: DFT, PBE
State: optimized geometry

The structure in POSCAR format:
```
KHgP
1.0
-0.360 -5.550 -1.080
0.792 -3.096 4.678
-3.117 3.700 -2.949
P K Hg
1 1 1
direct
0.311 0.311 0.000 P
0.671 0.671 0.000 K
0.018 0.018 0.000 Hg
```

V: 78.2 Å³/f.u.
Calculated formation energy: 0.19 eV per atom
Crystal system: orthorhombic



Material: Tb7Ga2Rh2
Method: DFT, PBE
State: optimized geometry

The structure in POSCAR format:
```
Tb7Ga2Rh2
1.0
-3.861 -0.563 5.444
2.568 -6.410 1.158
5.870 2.676 1.802
Tb Ga Rh
7 2 2
direct
0.000 0.739 0.500 Tb
0.000 0.261 0.500 Tb
0.500 0.745 0.500 Tb
0.500 0.261 0.000 Tb
0.500 0.739 0.000 Tb
0.500 0.255 0.500 Tb
0.000 0.000 0.000 Tb
0.833 0.500 0.833 Ga
0.167 0.500 0.167 Ga
0.707 0.000 0.293 Rh
0.293 0.000 0.707 Rh
```

V: 297.6 Å³/f.u.
Calculated formation energy: -0.43 eV per atom
Crystal system: orthorhombic



Material: K2PuGaCl6
Method: DFT, PBE
State: optimized geometry

The structure in POSCAR format:
```
K2PuGaCl6
1.0
-3.564 -5.725 3.196
6.215 -4.715 -1.515
4.230 2.498 9.579
Pu K Cl Ga
2 4 12 2
direct
0.500 0.000 0.500 Pu
0.000 0.500 0.000 Pu
0.528 0.574 0.751 K
0.028 0.926 0.251 K
0.472 0.426 0.249 K
0.972 0.074 0.749 K
0.377 0.949 0.737 Cl
0.877 0.551 0.237 Cl
0.291 0.687 0.061 Cl
0.209 0.187 0.439 Cl
0.677 0.287 0.565 Cl
0.823 0.787 0.935 Cl
0.177 0.213 0.065 Cl
0.323 0.713 0.435 Cl
0.623 0.051 0.263 Cl
0.791 0.813 0.561 Cl
0.709 0.313 0.939 Cl
0.123 0.449 0.763 Cl
0.500 0.000 0.000 Ga
0.000 0.500 0.500 Ga
```

V: 319.2 Å³/f.u.
Uncorrected formation energy: -1.7121 eV/atom
Crystal system: monoclinic



Material: BeHg2Os
Method: DFT, PBE
State: optimized geometry

The structure in POSCAR format:
```
BeHg2Os
1.0
-3.367 2.874 -1.072
-3.097 1.151 3.136
-0.033 4.214 1.728
Os Hg Be
1 2 1
direct
0.750 0.750 0.750 Os
0.000 0.000 0.000 Hg
0.250 0.250 0.250 Hg
0.500 0.500 0.500 Be
```

V: 66.8 Å³/f.u.
Calculated formation energy: 0.93 eV per atom
Crystal system: cubic



Material: PmLuGaOs
Method: DFT, PBE
State: optimized geometry

The structure in POSCAR format:
```
PmLuGaOs
1.0
4.944 0.000 0.000
2.472 4.282 0.000
2.472 1.427 4.037
Os Pm Ga Lu
1 1 1 1
direct
0.750 0.750 0.750 Os
0.000 0.000 0.000 Pm
0.250 0.250 0.250 Ga
0.500 0.500 0.500 Lu
```

V: 85.4 Å³/f.u.
Calculated formation energy: -0.31 eV per atom
Crystal system: cubic



For the records above, the corresponding final energy values read -5.38, -2.08, -5.26, -4.78, -2.96, -6.19 eV/atom.